First-principles (PBEsol) data for TePbI3 after structural relaxation, as listed in Alexandria.

Summary:
raw formation energy = 0.191 eV per atom

Geometry as CIF:
```
data_TePbI3
_cell_length_a 6.095
_cell_length_b 6.095
_cell_length_c 6.095
_cell_angle_alpha 90.00
_cell_angle_beta 90.00
_cell_angle_gamma 90.00
_space_group_name_H-M_alt 'P m -3 m'
_space_group_IT_number 221
_space_group_name_Hall '-P 4 2 3'
loop_
_atom_site_label
_atom_site_fract_x
_atom_site_fract_y
_atom_site_fract_z
Te1 0.000 0.000 0.000
Pb1 0.500 0.500 0.500
I1 0.000 0.500 0.500
```


First-principles (PBEsol) data for ZnTe2Pd after structural relaxation, as listed in Alexandria.

Summary:
raw formation energy = -0.050 eV per atom

Geometry as CIF:
```
data_ZnTe2Pd
_cell_length_a 4.0622
_cell_length_b 4.0622
_cell_length_c 23.3924
_cell_angle_alpha 90.00
_cell_angle_beta 90.00
_cell_angle_gamma 120.00
_space_group_name_H-M_alt 'R -3 m'
_space_group_IT_number 166
_space_group_name_Hall '-R 3 2"'
loop_
_atom_site_label
_atom_site_fract_x
_atom_site_fract_y
_atom_site_fract_z
Zn1 0.0000 0.0000 0.0000
Te1 0.0000 0.0000 0.1085
Pd1 0.0000 0.0000 0.5000
```


| no. | density of states at the Fermi level (states/eV/f.u.) | total magnetization (μB per atom) |
| --- | --- | --- |
| 1 | 2.18 | 0.567 |
| 2 | 2.07 | 0.000 |